Material: NaNbZn
Method: DFT, PBE-GGA
State: relaxed

Polymorph energy (0 for the lowest one) = 50.5 kJ/mol of formula units
ΔH_f (0 K) = 0.27 eV per atom

a b c (Å): 5.041 8.537 2.803
angles (deg): 107.99 88.99 80.78
Sites, in units of the cell vectors:
Zn1 0.730 0.827 0.843
Zn2 0.270 0.173 0.157
Nb1 0.221 0.876 0.405
Nb2 0.779 0.124 0.595
Na1 0.500 0.500 0.500
Na2 0.000 0.500 0.000

Material: CsRbAl2I8
Method: DFT, PBE-GGA
State: relaxed

Energy relative to the elements, uncorrected = -1011 meV/atom

a b c (Å): 7.933 7.933 12.186
angles (deg): 71.00 71.00 60.00
Sites, in units of the cell vectors:
Al1 0.243 0.243 0.271
Al2 0.757 0.757 0.729
I1 0.168 0.168 0.497
I2 0.832 0.832 0.503
I3 0.064 0.460 0.804
I4 0.936 0.540 0.196
I5 0.672 0.064 0.804
I6 0.460 0.672 0.804
I7 0.328 0.936 0.196
I8 0.540 0.328 0.196
Rb1 0.000 0.000 0.000
Cs1 0.500 0.500 0.500

Material: Dy6Sb3As2Se
Method: DFT, PBE-GGA
State: relaxed

Energy relative to the elements, uncorrected = -1381 meV/atom

a b c (Å): 4.237 8.517 9.502
angles (deg): 103.24 102.88 90.00
Sites, in units of the cell vectors:
Dy1 0.995 0.752 0.990
Dy2 0.329 0.427 0.659
Dy3 0.334 0.905 0.668
Dy4 0.005 0.248 0.010
Dy5 0.671 0.573 0.341
Dy6 0.666 0.095 0.332
Sb1 0.165 0.833 0.330
Sb2 0.500 0.500 0.000
Sb3 0.835 0.167 0.670
As1 0.833 0.668 0.667
As2 0.167 0.332 0.333
Se1 0.500 0.000 0.000

Material: V2GaCo3
Method: DFT, PBE-GGA
State: relaxed

Polymorph energy (0 for the lowest one) = 107.4 kJ/mol of formula units
ΔH_f (0 K) = 0.01 eV per atom

a b c (Å): 5.022 5.420 5.420
angles (deg): 90.97 90.00 90.00
Each line ends with the local moment (μB).
Sites, in units of the cell vectors:
V1 0.720 0.430 0.105  0.00
V2 0.720 0.105 0.430  0.00
V3 0.220 0.570 0.895  0.00
V4 0.220 0.895 0.570  0.00
Co1 0.970 0.828 0.172  -0.05
Co2 0.470 0.172 0.828  -0.05
Co3 0.970 0.500 0.500  0.48
Co4 0.470 0.828 0.172  -0.05
Co5 0.970 0.172 0.828  -0.05
Co6 0.470 0.500 0.500  0.48
Ga1 0.220 0.223 0.223  -0.01
Ga2 0.720 0.777 0.777  -0.01

Material: SmPuPb2O8
Method: DFT, PBE-GGA
State: relaxed

Energy relative to the elements, uncorrected = -1951 meV/atom

a b c (Å): 5.211 5.212 6.982
angles (deg): 90.00 90.00 90.14
Each line ends with the local moment (μB).
Sites, in units of the cell vectors:
O1 0.312 0.313 0.500  0.03
O2 0.818 0.182 0.780  -0.08
O3 0.818 0.182 0.220  -0.08
O4 0.182 0.818 0.220  -0.08
O5 0.295 0.295 0.000  -0.03
O6 0.182 0.818 0.780  -0.08
O7 0.705 0.705 0.000  -0.03
O8 0.688 0.687 0.500  0.03
Sm1 0.000 0.000 0.500  0.00
Pb1 0.500 0.500 0.248  0.03
Pb2 0.500 0.500 0.752  0.03
Pu1 0.000 0.000 0.000  2.49

Material: Sr2ReO5
Method: DFT, PBE-GGA
State: relaxed

Energy relative to the elements, uncorrected = -2336 meV/atom
Polymorph energy (0 for the lowest one) = 0.0 kJ/mol of formula units

a b c (Å): 5.544 7.300 11.135
angles (deg): 90.00 90.00 90.00
Each line ends with the local moment (μB).
Sites, in units of the cell vectors:
O1 0.250 0.043 0.204  0.05
O2 0.505 0.661 0.891  0.03
O3 0.005 0.339 0.109  0.03
O4 0.750 0.957 0.796  0.05
O5 0.505 0.161 0.609  0.03
O6 0.750 0.724 0.105  0.03
O7 0.250 0.776 0.605  0.03
O8 0.005 0.839 0.391  0.03
O9 0.995 0.161 0.609  0.03
O10 0.250 0.276 0.895  0.03
O11 0.000 0.500 0.500  0.00
O12 0.495 0.339 0.109  0.03
O13 0.500 0.000 0.000  0.00
O14 0.495 0.839 0.391  0.03
O15 0.250 0.543 0.296  0.05
O16 0.000 0.000 0.000  0.00
O17 0.500 0.500 0.500  0.00
O18 0.995 0.661 0.891  0.03
O19 0.750 0.457 0.704  0.05
O20 0.750 0.224 0.395  0.03
Sr1 0.750 0.015 0.221  0.01
Sr2 0.250 0.485 0.721  0.01
Sr3 0.750 0.841 0.581  0.01
Sr4 0.250 0.659 0.081  0.01
Sr5 0.250 0.159 0.419  0.01
Sr6 0.750 0.341 0.919  0.01
Sr7 0.250 0.985 0.779  0.01
Sr8 0.750 0.515 0.279  0.01
Re1 0.750 0.323 0.561  0.52
Re2 0.750 0.823 0.939  0.52
Re3 0.250 0.177 0.061  0.52
Re4 0.250 0.677 0.439  0.52

Material: GdInPtAu
Method: DFT, PBE-GGA
State: relaxed

ΔH_f (0 K) = -0.77 eV per atom

a b c (Å): 4.914 4.914 4.914
angles (deg): 60.00 60.00 60.00
Each line ends with the local moment (μB).
Sites, in units of the cell vectors:
In1 0.000 0.000 0.000  0.00
Au1 0.250 0.250 0.250  0.00
Pt1 0.750 0.750 0.750  0.00
Gd1 0.500 0.500 0.500  6.96

Material: Pa3PtO
Method: DFT, PBE-GGA
State: relaxed

Energy relative to the elements, uncorrected = -1041 meV/atom

a b c (Å): 4.677 4.677 4.677
angles (deg): 90.00 90.00 90.00
Sites, in units of the cell vectors:
O1 0.000 0.000 0.000
Pt1 0.500 0.500 0.500
Pa1 0.000 0.500 0.000
Pa2 0.000 0.000 0.500
Pa3 0.500 0.000 0.000

For the records above, the corresponding VASP energy values read -3.946, -2.820, -5.778, -7.087, -7.462, -7.412, -7.309, -8.938 eV/atom.
For the records above, the corresponding Fermi-level density of states values read 0.466, 0.000, 0.175, 1.071, 0.463, 0.408, 0.549, 1.590 states/eV/atom.